14
Lattice="-2.1161 4.8967 6.1407 2.1161 -4.8967 6.1407 2.1161 4.8967 -6.1407" Properties=species:S:1:pos:R:3 comment="PBE Er3Ga8Pd3, optimized geometry" mass_density_g_cm3=9.00 space_group="Immm, No. 71" relative_energy_ev_per_atom=0.000 total_energy_ev_per_cell=-63.27 e_form_ev_per_atom=-0.699 magmom_total_mub_per_cell=0.0 pbc="T T T"
Er 0.0000 0.0000 0.0000
Er 0.0000 0.0000 3.8876
Er 0.0000 0.0000 8.3938
Ga 2.1161 -1.2573 2.0237
Ga 2.1161 -2.1423 4.5446
Ga 2.1161 1.2573 2.0237
Ga 0.0000 2.7544 1.5961
Ga 2.1161 2.1423 4.5446
Ga 0.0000 3.6395 4.1170
Ga 0.0000 7.0390 1.5961
Ga 0.0000 6.1540 4.1170
Pd 2.1161 2.8347 0.0000
Pd 0.0000 4.8967 0.0000
Pd 0.0000 2.0620 6.1407

8
Lattice="-3.1705 3.1705 6.2623 3.1705 -3.1705 6.2623 3.1705 3.1705 -6.2623" Properties=species:S:1:pos:R:3 comment="PBE ReSiBi2, optimized geometry" mass_density_g_cm3=8.34 space_group="I-42d, No. 122" total_energy_ev_per_cell=-41.82 magmom_total_mub_per_cell=0.0 raw_formation_energy_ev_per_atom=1.180 pbc="T T T"
Re 0.0000 0.0000 0.0000
Re 0.0000 3.1705 3.1312
Si 3.1705 0.0000 3.1312
Si 0.0000 0.0000 6.2623
Bi 4.7558 1.4869 -1.5656
Bi 1.4869 1.5853 1.5656
Bi -1.5853 1.6836 4.6967
Bi 1.6836 1.5853 7.8279

5
Lattice="5.0697 0.0000 0.0000 0.0000 5.0697 0.0000 0.0000 0.0000 5.1424" Properties=species:S:1:pos:R:3 comment="PBE MgGa2HgMo, optimized geometry" mass_density_g_cm3=5.78 space_group="P4/mmm, No. 123" total_energy_ev_per_cell=-13.14 e_form_ev_per_atom=1.128 magmom_total_mub_per_cell=4.2 pbc="T T T"
Mg 0.0000 0.0000 0.0000
Ga 0.0000 2.5348 2.5712
Ga 2.5348 0.0000 2.5712
Hg 0.0000 0.0000 2.5712
Mo 2.5348 2.5348 0.0000

14
Lattice="-4.7623 4.7623 4.6815 4.7623 -4.7623 4.6815 4.7623 4.7623 -4.6815" Properties=species:S:1:pos:R:3 comment="PBE Nd5ErTl8, optimized geometry" mass_density_g_cm3=9.87 space_group="I-4, No. 82" total_energy_ev_per_cell=-51.37 e_form_ev_per_atom=-0.288 magmom_total_mub_per_cell=0.0 pbc="T T T"
Nd 0.0000 0.0000 0.0000
Nd 2.4476 3.6307 -1.1931
Nd 5.8938 2.4476 1.1931
Nd 2.3146 1.1315 3.4883
Nd -1.1315 2.3146 5.8746
Er 0.0000 4.7623 2.3407
Tl 5.5860 3.0529 -1.9791
Tl 3.1840 0.7231 0.3363
Tl 4.0391 -1.5783 4.3451
Tl -0.8237 1.7094 2.7024
Tl 3.0529 3.9386 1.9791
Tl 0.7231 6.3405 -0.3363
Tl 1.7094 0.8237 6.6606
Tl 1.5783 4.0391 5.0178

8
Lattice="-2.6532 2.6532 4.3842 2.6532 -2.6532 4.3842 2.6532 2.6532 -4.3842" Properties=species:S:1:pos:R:3 comment="PBE Na2GaSnO4, optimized geometry" mass_density_g_cm3=4.01 space_group="I-4, No. 82" total_energy_ev_per_cell=-42.33 magmom_total_mub_per_cell=0.0 raw_formation_energy_ev_per_atom=-1.603 pbc="T T T"
Na 0.0000 0.0000 0.0000
Na 0.0000 2.6532 2.1921
Ga 0.0000 0.0000 4.3842
Sn 2.6532 0.0000 2.1921
O 1.2381 -1.0022 3.3492
O 1.6510 1.4151 1.0351
O 1.4151 3.6554 -1.0351
O 1.0022 1.2381 5.4193

29
Lattice="7.5104 -10.6008 0.0000 7.5104 10.6008 0.0000 -7.4261 0.0000 10.6044" Properties=species:S:1:pos:R:3 comment="PBE K17RbNa11, optimized geometry" mass_density_g_cm3=0.99 space_group="Cm, No. 8" total_energy_ev_per_cell=-33.56 e_form_ev_per_atom=0.020 magmom_total_mub_per_cell=0.0 pbc="T T T"
K 0.0000 0.0000 0.0000
K 4.8414 6.8181 0.0213
K 1.8609 3.5145 6.0966
K -0.9399 0.0000 7.4912
K 5.3455 4.2526 3.3110
K 2.5790 0.0000 3.6196
K 0.5871 3.1275 10.5028
K 5.2360 6.2835 7.2188
K 1.8609 -3.5145 6.0966
K 6.7925 0.0000 2.7907
K 4.8414 -6.8181 0.0213
K 0.5871 -3.1275 10.5028
K 9.6321 3.2761 4.1077
K 5.3455 -4.2526 3.3110
K 5.2360 -6.2835 7.2188
K 9.9759 0.0000 6.8390
K 9.6321 -3.2761 4.1077
Rb 3.4019 0.0000 8.5434
Na -3.4879 1.9114 10.5379
Na 1.3062 6.8212 8.6540
Na 6.1514 8.6830 3.7221
Na -3.4879 -1.9114 10.5379
Na 8.8072 6.7959 1.8163
Na 6.3203 2.0340 6.5833
Na 1.3062 -6.8212 8.6540
Na 6.3203 -2.0340 6.5833
Na 10.9624 0.0000 2.0672
Na 8.8072 -6.7959 1.8163
Na 6.1514 -8.6830 3.7221

6
Lattice="4.0292 0.0000 0.0000 0.0000 1.3722 7.3145 0.0000 -1.3722 7.3145" Properties=species:S:1:pos:R:3 comment="PBE Ru5C, optimized geometry" mass_density_g_cm3=10.62 space_group="Amm2, No. 38" relative_energy_ev_per_atom=0.375 total_energy_ev_per_cell=-51.51 e_form_ev_per_atom=0.683 magmom_total_mub_per_cell=0.0 pbc="T T T"
Ru 0.0000 0.0000 0.0000
Ru 0.0000 0.0000 4.7415
Ru 0.0000 0.0000 9.8430
Ru 2.0146 0.0000 1.6285
Ru 2.0146 0.0000 6.4266
C 2.0146 0.0000 12.2403

4
Lattice="3.5237 0.0000 0.0000 0.0000 3.8550 0.0000 0.0000 0.0000 6.0372" Properties=species:S:1:pos:R:3 comment="PBE MgZr2Si, optimized geometry" mass_density_g_cm3=4.76 space_group="Pmm2, No. 25" total_energy_ev_per_cell=-24.54 magmom_total_mub_per_cell=0.0 raw_formation_energy_ev_per_atom=-0.106 pbc="T T T"
Mg 0.0000 0.0000 0.0000
Zr 0.0000 0.0000 2.8633
Zr 1.7619 1.9275 4.4302
Si 1.7619 1.9275 1.5705